[1]
The following is a DFT calculation (SCAN) of a PBEsol-optimized structure of Tm5Co19P12.

Summary:
- M_tot (μB/f.u.) = 8.9
- energy of formation from the pure elements (eV/atom) = -0.865
- final energy (eV per cell) = -743.87
- mass density (g cm⁻³) = 8.96

a = 11.7914 Å, b = 11.7914 Å, c = 3.5972 Å
α = 90.00°, β = 90.00°, γ = 120.00°
Last column: nearest neighbours and their distance in Å.
Space group P-62m (No. 189)
Unique sites:
Tm (0.0000, 0.1865, 0.0000) x3  6 P 2.79-2.81, 10 Co 2.84-3.04
Tm (0.3333, 0.6667, 0.5000) x2  6 P 2.76, 9 Co 2.93-2.96
Co (0.0000, 0.0000, 0.5000) x1  3 P 2.12
Co (0.0000, 0.5527, 0.5000) x3  1 P 2.19
Co (0.0000, 0.7153, 0.0000) x3  4 P 2.16-2.18
Co (0.1257, 0.4834, 0.0000) x6  4 P 2.18-2.30
Co (0.1783, 0.8011, 0.5000) x6  4 P 2.22-2.29
P (0.0000, 0.3672, 0.5000) x3  7 Co 2.19-2.30
P (0.0000, 0.8198, 0.5000) x3  5 Co 2.12-2.22
P (0.1655, 0.6846, 0.0000) x6  5 Co 2.16-2.25

[2]
The following is a DFT calculation (SCAN) of a PBEsol-optimized structure of Co2PW.

Summary:
- M_tot (μB/f.u.) = 0.0
- energy of formation from the pure elements (eV/atom) = -0.085
- final energy (eV per cell) = -230.07
- mass density (g cm⁻³) = 11.65

a = 3.3100 Å, b = 2.7110 Å, c = 10.5713 Å
α = 90.00°, β = 90.00°, γ = 90.00°
Last column: nearest neighbours and their distance in Å.
Space group Amm2 (No. 38)
Unique sites:
Co (0.0000, 0.0000, 0.0000) x2  1 P 2.16
Co (0.5000, 0.0000, 0.3557) x2  4 P 2.23
P (0.0000, 0.0000, 0.7955) x2  5 Co 2.16-2.23
W (0.5000, 0.0000, 0.6233) x2  2 P 2.46, 4 Co 2.50, 2 W 2.71